First-principles (GGA-PBE) data for crystalline ZrTa2VC4 at its relaxed geometry, as listed in Alexandria via LeMat-Bulk.

The structure in POSCAR format:
```
ZrTa2VC4
1.0
-0.775 -3.040 -0.103
2.903 1.044 -4.808
9.483 -2.592 5.164
Ta Zr V C
4 2 2 8
Cartesian
4.670 -2.847 1.062
6.941 -1.742 -0.809
0.622 -1.740 -1.143
10.990 -2.849 1.396
3.884 -2.528 -2.432
7.728 -2.061 2.685
8.517 -3.804 0.360
3.095 -0.785 -0.107
2.462 -0.563 -1.916
6.702 -3.357 0.836
2.165 -2.203 0.888
9.149 -4.026 2.169
0.000 0.000 0.000
4.742 -1.296 2.582
4.910 -1.232 -0.583
9.447 -2.386 -0.635
```

Output
DOS at the Fermi energy = 0.381 states/eV per atom
VASP energy = -162.40 eV/cell
E_form = -0.366 eV/atom